An optimized crystal structure of CoTePdO. Source: OQMD, functional GGA+U.

CIF file:
```
data_CoTePdO
_space_group_name_H-M_alt 'P 4/n m m'
_space_group_IT_number 129
_cell_length_a 3.7823
_cell_length_b 3.7823
_cell_length_c 9.5515
_cell_angle_alpha 90.00
_cell_angle_beta 90.00
_cell_angle_gamma 90.00
loop_
_space_group_symop_operation_xyz
'x,y,z'
'-x,-y,-z'
'-y+1/2,x,z'
'y+1/2,-x,-z'
'-x+1/2,-y+1/2,z'
'x+1/2,y+1/2,-z'
'y,-x+1/2,z'
'-y,x+1/2,-z'
'x+1/2,-y,-z'
'-x+1/2,y,z'
'-y,-x,-z'
'y,x,z'
'-x,y+1/2,-z'
'x,-y+1/2,z'
'y+1/2,x+1/2,-z'
'-y+1/2,-x+1/2,z'
loop_
_atom_site_label
_atom_site_type_symbol
_atom_site_fract_x
_atom_site_fract_y
_atom_site_fract_z
Co1 Co 0.2500 0.2500 0.0171
Te1 Te 0.2500 0.2500 0.2998
Pd1 Pd 0.2500 0.7500 0.5000
O1 O 0.2500 0.2500 0.8378
```

Calculated values
Relative energy among the computed polymorphs, meV per atom: 485
Crystal system: tetragonal
Calculated density, g cm⁻³: 7.5